# BeHgRh2 (GGA-PBEsol, optimized geometry)
data_BeHgRh2
_symmetry_space_group_name_H-M 'P 1'
_symmetry_Int_Tables_number 1
_symmetry_space_group_name_Hall 'P 1'
_cell_length_a 2.847
_cell_length_b 2.847
_cell_length_c 6.640
_cell_angle_alpha 90.00
_cell_angle_beta 90.00
_cell_angle_gamma 90.00
loop_
_atom_site_label
_atom_site_fract_x
_atom_site_fract_y
_atom_site_fract_z
_atom_site_occupancy
Rh1 0.000 0.000 0.198 1
Rh2 0.000 0.000 0.802 1
Be1 0.500 0.500 0.000 1
Hg1 0.500 0.500 0.500 1
# Fermi-level density of states   1.2116 states/eV per atom
# Relative energy among the computed polymorphs   0.0000 eV per atom
# Energy   -21.548 eV/f.u.
# E_form   -0.705 eV/f.u.
# Volume   54 Å³/f.u.


# Zr5Co19P12 (GGA-PBEsol, optimized geometry)
data_Zr5Co19P12
_symmetry_space_group_name_H-M 'P 1'
_symmetry_Int_Tables_number 1
_symmetry_space_group_name_Hall 'P 1'
_cell_length_a 3.556
_cell_length_b 11.672
_cell_length_c 11.672
_cell_angle_alpha 120.00
_cell_angle_beta 90.00
_cell_angle_gamma 90.00
loop_
_atom_site_label
_atom_site_fract_x
_atom_site_fract_y
_atom_site_fract_z
_atom_site_occupancy
Co1 0.500 0.000 0.000 1
Co2 0.000 0.873 0.517 1
Co3 0.000 0.355 0.483 1
Co4 0.500 0.377 0.179 1
Co5 0.000 0.127 0.645 1
Co6 0.500 0.623 0.802 1
Co7 0.000 0.517 0.873 1
Co8 0.500 0.198 0.821 1
Co9 0.500 0.802 0.623 1
Co10 0.000 0.285 0.000 1
Co11 0.500 0.451 0.000 1
Co12 0.500 0.000 0.451 1
Co13 0.000 0.715 0.715 1
Co14 0.000 0.645 0.127 1
Co15 0.000 0.483 0.355 1
Co16 0.500 0.179 0.377 1
Co17 0.500 0.821 0.198 1
Co18 0.000 0.000 0.285 1
Co19 0.500 0.549 0.549 1
P1 0.000 0.517 0.682 1
P2 0.500 0.178 0.000 1
P3 0.500 0.000 0.637 1
P4 0.500 0.822 0.822 1
P5 0.000 0.682 0.517 1
P6 0.000 0.318 0.835 1
P7 0.000 0.835 0.318 1
P8 0.000 0.165 0.483 1
P9 0.500 0.363 0.363 1
P10 0.500 0.637 0.000 1
P11 0.500 0.000 0.178 1
P12 0.000 0.483 0.165 1
Zr1 0.000 0.816 0.000 1
Zr2 0.000 0.000 0.816 1
Zr3 0.000 0.184 0.184 1
Zr4 0.500 0.333 0.667 1
Zr5 0.500 0.667 0.333 1
# Fermi-level density of states   0.7338 states/eV per atom
# Energy   -297.666 eV/f.u.
# E_form   -35.716 eV/f.u.
# Volume   420 Å³/f.u.


# CoPOs2 (GGA-PBEsol, optimized geometry)
data_CoPOs2
_symmetry_space_group_name_H-M 'P 1'
_symmetry_Int_Tables_number 1
_symmetry_space_group_name_Hall 'P 1'
_cell_length_a 2.689
_cell_length_b 2.689
_cell_length_c 8.048
_cell_angle_alpha 90.00
_cell_angle_beta 90.00
_cell_angle_gamma 117.96
loop_
_atom_site_label
_atom_site_fract_x
_atom_site_fract_y
_atom_site_fract_z
_atom_site_occupancy
Os1 0.000 0.000 0.013 1
Os2 0.500 0.500 0.721 1
Co1 0.500 0.500 0.281 1
P1 0.000 0.000 0.485 1
# Fermi-level density of states   1.3162 states/eV per atom
# Energy   -36.187 eV/f.u.
# E_form   1.774 eV/f.u.
# Volume   51 Å³/f.u.


# ScHgAs (GGA-PBEsol, optimized geometry)
data_ScHgAs
_symmetry_space_group_name_H-M 'P 1'
_symmetry_Int_Tables_number 1
_symmetry_space_group_name_Hall 'P 1'
_cell_length_a 4.618
_cell_length_b 4.618
_cell_length_c 4.618
_cell_angle_alpha 60.00
_cell_angle_beta 60.00
_cell_angle_gamma 60.00
loop_
_atom_site_label
_atom_site_fract_x
_atom_site_fract_y
_atom_site_fract_z
_atom_site_occupancy
Hg1 0.250 0.250 0.250 1
As1 0.500 0.500 0.500 1
Sc1 0.000 0.000 0.000 1
# Fermi-level density of states   0.7257 states/eV per atom
# Energy   -12.711 eV/f.u.
# E_form   -0.433 eV/f.u.
# Volume   70 Å³/f.u.


# MnIn2Ir (GGA-PBEsol, optimized geometry)
data_MnIn2Ir
_symmetry_space_group_name_H-M 'P 1'
_symmetry_Int_Tables_number 1
_symmetry_space_group_name_Hall 'P 1'
_cell_length_a 4.570
_cell_length_b 4.570
_cell_length_c 4.570
_cell_angle_alpha 60.00
_cell_angle_beta 60.00
_cell_angle_gamma 60.00
loop_
_atom_site_label
_atom_site_fract_x
_atom_site_fract_y
_atom_site_fract_z
_atom_site_occupancy
In1 0.000 0.000 0.000 1
In2 0.750 0.750 0.750 1
Mn1 0.250 0.250 0.250 1
Ir1 0.500 0.500 0.500 1
# Fermi-level density of states   0.4084 states/eV per atom
# Energy   -24.631 eV/f.u.
# E_form   0.919 eV/f.u.
# Volume   67 Å³/f.u.


# TlRe2Hg (GGA-PBEsol, optimized geometry)
data_TlRe2Hg
_symmetry_space_group_name_H-M 'P 1'
_symmetry_Int_Tables_number 1
_symmetry_space_group_name_Hall 'P 1'
_cell_length_a 2.965
_cell_length_b 2.981
_cell_length_c 8.670
_cell_angle_alpha 99.86
_cell_angle_beta 90.00
_cell_angle_gamma 90.00
loop_
_atom_site_label
_atom_site_fract_x
_atom_site_fract_y
_atom_site_fract_z
_atom_site_occupancy
Re1 0.000 0.957 0.038 1
Re2 0.500 0.541 0.207 1
Hg1 0.500 0.332 0.787 1
Tl1 0.000 0.170 0.468 1
# Fermi-level density of states   0.4856 states/eV per atom
# Relative energy among the computed polymorphs   0.0000 eV per atom
# Energy   -28.248 eV/f.u.
# E_form   1.614 eV/f.u.
# Volume   75 Å³/f.u.


# Be2Co (GGA-PBEsol, optimized geometry)
data_Be2Co
_symmetry_space_group_name_H-M 'P 1'
_symmetry_Int_Tables_number 1
_symmetry_space_group_name_Hall 'P 1'
_cell_length_a 2.594
_cell_length_b 2.594
_cell_length_c 8.345
_cell_angle_alpha 98.94
_cell_angle_beta 98.94
_cell_angle_gamma 90.00
loop_
_atom_site_label
_atom_site_fract_x
_atom_site_fract_y
_atom_site_fract_z
_atom_site_occupancy
Co1 0.000 0.000 0.000 1
Co2 0.250 0.750 0.500 1
Be1 0.430 0.430 0.860 1
Be2 0.680 0.180 0.360 1
Be3 0.570 0.570 0.140 1
Be4 0.820 0.320 0.640 1
# Fermi-level density of states   0.2507 states/eV per atom
# Energy   -15.775 eV/f.u.
# E_form   -0.038 eV/f.u.
# Volume   27 Å³/f.u.


# RbHf3Cd (GGA-PBEsol, optimized geometry)
data_RbHf3Cd
_symmetry_space_group_name_H-M 'P 1'
_symmetry_Int_Tables_number 1
_symmetry_space_group_name_Hall 'P 1'
_cell_length_a 5.321
_cell_length_b 5.321
_cell_length_c 5.321
_cell_angle_alpha 90.00
_cell_angle_beta 90.00
_cell_angle_gamma 90.00
loop_
_atom_site_label
_atom_site_fract_x
_atom_site_fract_y
_atom_site_fract_z
_atom_site_occupancy
Rb1 0.500 0.500 0.500 1
Hf1 0.500 0.000 0.000 1
Hf2 0.000 0.500 0.000 1
Hf3 0.000 0.000 0.500 1
Cd1 0.000 0.000 0.000 1
# Fermi-level density of states   1.5160 states/eV per atom
# Energy   -26.149 eV/f.u.
# E_form   7.583 eV/f.u.
# Volume   151 Å³/f.u.